# Co4Ni3Pt2

A geometry-optimized Co4Ni3Pt2 structure (PBE-GGA, the Alexandria database).

E_form: 0.15 eV per atom

Cell: 8.709 11.433 4.691 Å, 90.00 102.26 90.00°
Space group C2/c (No. 15)
One atom of each set of equivalent atoms:
Co  0.097  0.076  0.493 [8 per cell]
Co  0.131  0.487  0.636 [8 per cell]
Ni  0.000  0.295  0.750 [4 per cell]
Ni  0.179  0.126  0.020 [8 per cell]
Pt  0.149  0.304  0.311 [8 per cell]

---

# Co3Ni6Pt

A geometry-optimized Co3Ni6Pt structure (PBE-GGA, the Alexandria database).

energy relative to the lowest polymorph listed for this composition: 147 meV/atom
E_form: 0.15 eV per atom

Cell: 8.211 4.741 6.621 Å, 90.00 112.97 90.00°
Space group C2/m (No. 12)
One atom of each set of equivalent atoms:
Co  0.000  0.000  0.000 [2 per cell]
Co  0.070  0.000  0.694 [4 per cell]
Ni  0.153  0.500  0.934 [4 per cell]
Ni  0.184  0.254  0.301 [8 per cell]
Pt  0.000  0.500  0.500 [2 per cell]

---

# CoNiPt2

A geometry-optimized CoNiPt2 structure (PBE-GGA, the Alexandria database).

E_form: -0.11 eV per atom

Cell: 2.701 3.689 5.422 Å, 90.00 90.09 90.00°
Space group P2/m (No. 10)
One atom of each set of equivalent atoms:
Co  0.000  0.000  0.000 [1 per cell]
Ni  0.000  0.000  0.500 [1 per cell]
Pt  0.500  0.500  0.249 [2 per cell]

---

Values for E, eV per cell, ordered as above
-225.87, -121.16, -25.41
Values for calculated volume, Å³ per atom, ordered as above
12.7, 11.9, 13.5